No. 1
The following is a DFT calculation (PBE-GGA) of NdNbFe after structural relaxation.

a b c (Å): 4.411 4.411 6.457
angles (deg): 90.00 90.00 90.00
Fractional positions:
Nd 0.000 0.500 0.868
Nd 0.500 0.000 0.132
Fe 0.000 0.500 0.317
Fe 0.500 0.000 0.683
Nb 0.500 0.500 0.500
Nb 0.000 0.000 0.500

Calculated values
space group: P4/nmm
total magnetization: 0.000 μB/atom
formation energy from the elements: 0.04 eV/atom


No. 2
The following is a DFT calculation (PBE-GGA) of NdNbFe4 after structural relaxation.

a b c (Å): 5.058 5.058 5.058
angles (deg): 60.00 60.00 60.00
Last column: magnetic moment on the atom in μB.
Fractional positions:
Nb 0.250 0.250 0.250  -1.09
Nd 0.000 0.000 0.000  -0.26
Fe 0.624 0.624 0.128  2.02
Fe 0.624 0.128 0.624  2.02
Fe 0.624 0.624 0.624  2.02
Fe 0.128 0.624 0.624  2.02

Calculated values
space group: F-43m
total magnetization: 1.053 μB/atom
formation energy from the elements: 0.10 eV/atom


Question: Among the records above, which one has the highest total magnetization?
Answer: NdNbFe4


Question: The lowest total magnetization belongs to which entry?
Answer: NdNbFe


Question: Number 1 is which compound?
Answer: NdNbFe


Question: The highest formation energy from the elements belongs to which entry?
Answer: NdNbFe4